[1]
## BaTi2N2 (GGA-PBE)

Data for a relaxed structure of BaTi2N2.

Values from the calculation:
As for the energy above the most stable polymorph in this dataset: 0 meV/atom. As for the size of the total moment: 0.00 μB/f.u. For the uncorrected formation energy, the calculation gives -93 kJ per mole of atoms. The calculation puts the total energy at -7.838 eV/atom.

The structure in POSCAR format:
```
BaTi2N2
1.0
3.9608 0.0000 0.0000
0.0000 3.9608 0.0000
1.9804 1.9804 6.4884
Ba N Ti
1 2 2
Direct
0.0000 0.0000 0.0000
0.2500 0.7500 0.5000
0.7500 0.2500 0.5000
0.2797 0.2797 0.4405
0.7203 0.7203 0.5595
```

***

[2]
## LiSb3Pb (GGA-PBE)

Data for a relaxed structure of LiSb3Pb.

Values from the calculation:
As for the energy above the most stable polymorph in this dataset: 476 meV/atom. As for the size of the total moment: 0.00 μB/f.u. For the uncorrected formation energy, the calculation gives 69 kJ per mole of atoms. The calculation puts the total energy at -2.880 eV/atom.

The structure in POSCAR format:
```
LiSb3Pb
1.0
5.8541 0.0000 0.0000
0.0000 5.8541 0.0000
0.0000 0.0000 5.8541
Sb Pb Li
3 1 1
Direct
0.0000 0.0000 0.5000
0.5000 0.0000 0.0000
0.0000 0.5000 0.0000
0.0000 0.0000 0.0000
0.5000 0.5000 0.5000
```

***

[3]
## MgSc2VIr (GGA-PBE)

Data for a relaxed structure of MgSc2VIr.

Values from the calculation:
As for the size of the total moment: 0.73 μB/f.u. The calculation puts the total energy at -5.523 eV/atom. The formation energy is 0.9244 eV per atom.

The structure in POSCAR format:
```
MgSc2VIr
1.0
-1.3346 -3.5319 2.5428
0.8055 -2.9877 -3.7271
4.2857 -0.6040 1.4104
Sc V Ir Mg
2 1 1 1
Direct
0.5000 0.0000 0.0000
0.0000 0.0000 0.5000
0.0000 0.0000 0.0000
0.5000 0.5000 0.5000
0.0000 0.5000 0.0000
```

***

[4]
## SrTaO3 (GGA-PBE)

Data for a relaxed structure of SrTaO3.

Values from the calculation:
As for the size of the total moment: 0.00 μB/f.u. For the uncorrected formation energy, the calculation gives 24 kJ per mole of atoms. The calculation puts the total energy at -5.434 eV/atom.

The structure in POSCAR format:
```
SrTaO3
1.0
4.3237 0.0000 0.0000
0.0000 4.3237 0.0000
0.0000 0.0000 4.3237
O Ta Sr
3 1 1
Direct
0.5000 0.0000 0.0000
0.0000 0.0000 0.5000
0.0000 0.5000 0.0000
0.5000 0.5000 0.5000
0.0000 0.0000 0.0000
```

***

[5]
## Sm3CN2 (GGA-PBE)

Data for a relaxed structure of Sm3CN2.

Values from the calculation:
As for the size of the total moment: 0.00 μB/f.u. For the uncorrected formation energy, the calculation gives -87 kJ per mole of atoms. The calculation puts the total energy at -7.570 eV/atom.

The structure in POSCAR format:
```
Sm3CN2
1.0
3.3323 -0.0003 -1.3907
-0.9905 4.4199 -2.3744
0.6536 0.5473 6.2535
Sm N C
3 2 1
Direct
0.5000 0.5000 0.0000
0.8268 0.8268 0.6536
0.1732 0.1732 0.3464
0.8322 0.3322 0.6643
0.1678 0.6678 0.3357
0.5000 0.0000 0.0000
```

***

[6]
## Cu2PPd4 (GGA-PBE)

Data for a relaxed structure of Cu2PPd4.

Values from the calculation:
As for the energy above the most stable polymorph in this dataset: 408 meV/atom. As for the size of the total moment: 0.00 μB/f.u. The calculation puts the total energy at -4.759 eV/atom. The formation energy is 0.1516 eV per atom.

The structure in POSCAR format:
```
Cu2PPd4
1.0
4.4982 0.0000 0.0000
0.0000 4.4982 0.0000
2.2491 2.2491 6.0883
P Cu Pd
1 2 4
Direct
0.0000 0.0000 0.0000
0.3891 0.3891 0.2218
0.6109 0.6109 0.7782
0.5000 0.0000 0.0000
0.8168 0.8168 0.3664
0.0000 0.5000 0.0000
0.1832 0.1832 0.6336
```

***

[7]
## LiInNi (GGA-PBE)

Data for a relaxed structure of LiInNi.

Values from the calculation:
As for the size of the total moment: 0.00 μB/f.u. The calculation puts the total energy at -3.346 eV/atom. The formation energy is 0.1323 eV per atom.

The structure in POSCAR format:
```
LiInNi
1.0
-0.5017 -0.6877 -2.9261
-0.4603 -2.1004 2.1594
-6.0718 1.9338 0.5867
Li In Ni
1 1 1
Direct
0.6667 0.3333 0.3617
0.0000 0.0000 0.9752
0.3333 0.6667 0.6632
```

***

[8]
## Ba3SrCo (GGA-PBE)

Data for a relaxed structure of Ba3SrCo.

Values from the calculation:
As for the energy above the most stable polymorph in this dataset: 1105 meV/atom. As for the size of the total moment: 1.30 μB/f.u. The calculation puts the total energy at -1.580 eV/atom. The formation energy is 1.3309 eV per atom.

The structure in POSCAR format:
```
Ba3SrCo
1.0
7.3996 0.0000 0.0000
0.0000 7.3996 0.0000
0.0000 0.0000 7.3996
Sr Ba Co
1 3 1
Direct
0.0000 0.0000 0.0000
0.0000 0.5000 0.0000
0.5000 0.0000 0.0000
0.0000 0.0000 0.5000
0.5000 0.5000 0.5000
```

***

[9]
## BiOs (GGA-PBE)

Data for a relaxed structure of BiOs.

Values from the calculation:
As for the energy above the most stable polymorph in this dataset: 408 meV/atom. As for the size of the total moment: 0.00 μB/f.u. The calculation puts the total energy at -6.437 eV/atom. The formation energy is 1.1181 eV per atom.

The structure in POSCAR format:
```
BiOs
1.0
3.1205 0.0000 0.0000
0.0000 7.1817 0.0000
0.0000 0.0000 13.8044
Bi Os
6 6
Direct
0.0000 0.6650 0.1674
0.5000 0.3350 0.6674
0.5000 0.1687 0.0000
0.5000 0.3350 0.3326
0.0000 0.6650 0.8326
0.0000 0.8313 0.5000
0.5000 0.5178 0.5000
0.0000 0.0147 0.3216
0.5000 0.9853 0.8216
0.0000 0.0147 0.6784
0.0000 0.4822 0.0000
0.5000 0.9853 0.1784
```

***

[10]
## Li2InGe2 (GGA-PBE)

Data for a relaxed structure of Li2InGe2.

Values from the calculation:
As for the energy above the most stable polymorph in this dataset: 120 meV/atom. As for the size of the total moment: 0.00 μB/f.u. The calculation puts the total energy at -3.230 eV/atom. The formation energy is -0.0695 eV per atom.

The structure in POSCAR format:
```
Li2InGe2
1.0
-1.0317 0.9558 -7.3836
-3.2123 -6.7818 -0.4291
-2.9178 1.3452 0.5818
Li In Ge
4 2 4
Direct
0.3764 0.8764 0.0000
0.1236 0.3764 0.0000
0.8764 0.6236 0.0000
0.6236 0.1236 0.0000
0.0000 0.0000 0.0000
0.5000 0.5000 0.0000
0.8251 0.3251 0.5000
0.3251 0.1749 0.5000
0.1749 0.6749 0.5000
0.6749 0.8251 0.5000
```

***

[11]
## Ca2Sm5Tl4 (GGA-PBE)

Data for a relaxed structure of Ca2Sm5Tl4.

Values from the calculation:
As for the size of the total moment: 0.00 μB/f.u. The calculation puts the total energy at -3.512 eV/atom. The formation energy is -0.1429 eV per atom.

The structure in POSCAR format:
```
Ca2Sm5Tl4
1.0
3.7294 0.0000 0.0000
0.0000 8.5938 -1.6431
-1.8647 -4.4906 12.0683
Ca Tl Sm
2 4 5
Direct
0.4305 0.5042 0.8609
0.5695 0.4958 0.1391
0.2852 0.3444 0.5704
0.9522 0.1995 0.9044
0.0478 0.8005 0.0956
0.7148 0.6556 0.4296
0.1505 0.2933 0.3009
0.8495 0.7067 0.6991
0.1835 0.9135 0.3671
0.8165 0.0865 0.6329
0.5000 0.0000 0.0000
```

***

[12]
## CaTl2Pb (GGA-PBE)

Data for a relaxed structure of CaTl2Pb.

Values from the calculation:
As for the size of the total moment: 0.00 μB/f.u. The calculation puts the total energy at -2.826 eV/atom. The formation energy is -0.2152 eV per atom.

The structure in POSCAR format:
```
CaTl2Pb
1.0
-2.0850 3.8409 3.4710
0.5907 -0.6095 5.5161
3.4384 3.3664 2.8271
Tl Ca Pb
2 1 1
Direct
0.2500 0.2500 0.2500
0.0000 0.0000 0.0000
0.5000 0.5000 0.5000
0.7500 0.7500 0.7500
```